No. 1
This record from Alexandria describes a relaxed structure of Sc4TlAg2Pd. The functional is PBE-GGA.

Calculated values
Energy ... -5.26 eV per atom
N(E_F) ... 7.3 states/eV/f.u.
V ... 20.4 Å³/atom
Total magnetization ... 0.00 μB/cell

abc: 4.8764 4.8764 23.8310
angles: 90.00 90.00 120.00
Closest atoms and distances in Å follow each position.
Space group R-3m (No. 166, hexagonal axes)
Unique sites:
Sc (0.0000, 0.0000, 0.1176) [6 per cell]  1 Pd 2.80, 4 Ag 2.91-3.07, 3 Tl 3.05
Sc (0.0000, 0.0000, 0.3695) [6 per cell]  4 Ag 2.93-3.06, 3 Pd 2.94, 1 Tl 3.11
Tl (0.0000, 0.0000, 0.5000) [3 per cell]  8 Sc 3.05-3.11, 6 Ag 3.40
Ag (0.0000, 0.0000, 0.2464) [6 per cell]  8 Sc 2.91-3.07
Pd (0.0000, 0.0000, 0.0000) [3 per cell]  8 Sc 2.80-2.94

=====

No. 2
This record from Alexandria describes a relaxed structure of ScTlAgPd. The functional is PBE-GGA.

Calculated values
Energy ... -4.55 eV per atom
N(E_F) ... 3.5 states/eV/f.u.
V ... 19.2 Å³/atom
Total magnetization ... 0.00 μB/cell

abc: 6.7476 6.7476 6.7476
angles: 90.00 90.00 90.00
Closest atoms and distances in Å follow each position.
Space group F-43m (No. 216)
Unique sites:
Sc (0.0000, 0.0000, 0.0000) [4 per cell]  4 Pd 2.92, 4 Ag 2.92
Tl (0.0000, 0.0000, 0.5000) [4 per cell]  4 Pd 2.92, 4 Ag 2.92
Ag (0.2500, 0.2500, 0.7500) [4 per cell]  4 Tl 2.92, 4 Sc 2.92
Pd (0.2500, 0.2500, 0.2500) [4 per cell]  4 Tl 2.92, 4 Sc 2.92

=====

No. 3
This record from Alexandria describes a relaxed structure of TmScAgPd. The functional is PBE-GGA.

Calculated values
Energy above the most stable polymorph in this dataset ... 0 meV/atom
Energy ... -5.32 eV per atom
N(E_F) ... 2.9 states/eV/f.u.
V ... 20.6 Å³/atom
Total magnetization ... 0.00 μB/cell

abc: 3.4357 3.4357 6.9659
angles: 90.00 90.00 90.00
Closest atoms and distances in Å follow each position.
Space group P4mm (No. 99)
Unique sites:
Tm (0.0000, 0.0000, 0.0000) [1 per cell]  4 Pd 3.01, 4 Ag 3.11, 1 Sc 3.34
Sc (0.0000, 0.0000, 0.4798) [1 per cell]  4 Pd 2.89, 4 Ag 2.96
Ag (0.5000, 0.5000, 0.7221) [1 per cell]  4 Sc 2.96, 4 Tm 3.11, 1 Pd 3.25
Pd (0.5000, 0.5000, 0.2552) [1 per cell]  4 Sc 2.89, 4 Tm 3.01

=====

No. 4
This record from Alexandria describes a relaxed structure of TmScAgPd. The functional is PBE-GGA.

Calculated values
Energy above the most stable polymorph in this dataset ... 19 meV/atom
Energy ... -5.30 eV per atom
N(E_F) ... 3.5 states/eV/f.u.
V ... 20.5 Å³/atom
Total magnetization ... 0.00 μB/cell

abc: 6.8996 6.8996 6.8996
angles: 90.00 90.00 90.00
Closest atoms and distances in Å follow each position.
Space group F-43m (No. 216)
Unique sites:
Tm (0.0000, 0.0000, 0.0000) [4 per cell]  4 Pd 2.99, 4 Ag 2.99
Sc (0.0000, 0.0000, 0.5000) [4 per cell]  4 Pd 2.99, 4 Ag 2.99
Ag (0.2500, 0.2500, 0.2500) [4 per cell]  4 Tm 2.99, 4 Sc 2.99
Pd (0.2500, 0.2500, 0.7500) [4 per cell]  4 Tm 2.99, 4 Sc 2.99

=====

No. 5
This record from Alexandria describes a relaxed structure of YScAgPd. The functional is PBE-GGA.

Calculated values
Energy above the most stable polymorph in this dataset ... 24 meV/atom
Energy ... -5.77 eV per atom
N(E_F) ... 3.3 states/eV/f.u.
V ... 21.1 Å³/atom
Total magnetization ... 0.00 μB/cell

abc: 6.9617 6.9617 6.9617
angles: 90.00 90.00 90.00
Closest atoms and distances in Å follow each position.
Space group F-43m (No. 216)
Unique sites:
Y (0.0000, 0.0000, 0.0000) [4 per cell]  4 Pd 3.01, 4 Ag 3.01
Sc (0.0000, 0.0000, 0.5000) [4 per cell]  4 Pd 3.01, 4 Ag 3.01
Ag (0.2500, 0.2500, 0.7500) [4 per cell]  4 Sc 3.01, 4 Y 3.01
Pd (0.2500, 0.2500, 0.2500) [4 per cell]  4 Sc 3.01, 4 Y 3.01

=====

No. 6
This record from Alexandria describes a relaxed structure of YScAgPd. The functional is PBE-GGA.

Calculated values
Energy above the most stable polymorph in this dataset ... 0 meV/atom
Energy ... -5.79 eV per atom
N(E_F) ... 3.0 states/eV/f.u.
V ... 21.1 Å³/atom
Total magnetization ... 0.00 μB/cell

abc: 3.4580 3.4580 7.0470
angles: 90.00 90.00 90.00
Closest atoms and distances in Å follow each position.
Space group P4mm (No. 99)
Unique sites:
Y (0.0000, 0.0000, 0.0000) [1 per cell]  4 Pd 3.08, 4 Ag 3.16, 1 Sc 3.38
Sc (0.0000, 0.0000, 0.5200) [1 per cell]  4 Pd 2.88, 4 Ag 2.96
Ag (0.5000, 0.5000, 0.2842) [1 per cell]  4 Sc 2.96, 4 Y 3.16, 1 Pd 3.17
Pd (0.5000, 0.5000, 0.7346) [1 per cell]  4 Sc 2.88, 4 Y 3.08, 1 Ag 3.17

=====

No. 7
This record from Alexandria describes a relaxed structure of Y2ScAgPd. The functional is PBE-GGA.

Calculated values
Energy ... -5.10 eV per atom
N(E_F) ... 8.8 states/eV/f.u.
V ... 30.1 Å³/atom
Total magnetization ... 0.00 μB/cell

abc: 5.4563 5.4563 5.0634
angles: 90.00 90.00 90.00
Closest atoms and distances in Å follow each position.
Space group P4/mmm (No. 123)
Unique sites:
Y (0.0000, 0.5000, 0.0000) [2 per cell]  2 Ag 2.73
Sc (0.0000, 0.0000, 0.5000) [1 per cell]  2 Ag 2.53
Ag (0.0000, 0.0000, 0.0000) [1 per cell]  2 Sc 2.53, 4 Y 2.73
Pd (0.5000, 0.5000, 0.5000) [1 per cell]  8 Y 3.72, 4 Sc 3.86

=====

No. 8
This record from Alexandria describes a relaxed structure of Sc4ZnAgPd2. The functional is PBE-GGA.

Calculated values
Energy ... -5.58 eV per atom
N(E_F) ... 5.2 states/eV/f.u.
V ... 18.8 Å³/atom
Total magnetization ... 0.00 μB/cell

abc: 4.7311 4.7311 23.2821
angles: 90.00 90.00 120.00
Closest atoms and distances in Å follow each position.
Space group R-3m (No. 166, hexagonal axes)
Unique sites:
Sc (0.0000, 0.0000, 0.1237) [6 per cell]  1 Zn 2.88, 4 Pd 2.90-2.99, 3 Ag 2.91
Sc (0.0000, 0.0000, 0.3740) [6 per cell]  4 Pd 2.84-2.89, 3 Zn 2.89, 1 Ag 2.93
Zn (0.0000, 0.0000, 0.0000) [3 per cell]  8 Sc 2.88-2.89
Ag (0.0000, 0.0000, 0.5000) [3 per cell]  8 Sc 2.91-2.93
Pd (0.0000, 0.0000, 0.2521) [6 per cell]  8 Sc 2.84-2.99

=====

| no. | energy of formation (eV per atom) |
| --- | --- |
| 1 | -0.432 |
| 2 | -0.364 |
| 3 | -0.606 |
| 4 | -0.587 |
| 5 | -0.560 |
| 6 | -0.584 |
| 7 | 0.362 |
| 8 | -0.602 |